1.
An optimized crystal structure of NbZnIr2. Source: Alexandria, functional PBE.

Output
Size of the total moment   0.0 μB/f.u.
D(E_F)   12.39 states/eV/cell
Raw total energy   -7.08 eV/atom

Cell and atoms, written as CIF:
```
data_NbZnIr2
_chemical_formula_sum 'Nb4 Zn4 Ir8'
_symmetry_space_group_name_H-M 'I -4 2 d'
_symmetry_Int_Tables_number 122
_symmetry_space_group_name_Hall 'I -4 2bw'
_cell_length_a 6.9648
_cell_length_b 6.9648
_cell_length_c 5.6259
_cell_angle_alpha 90.00
_cell_angle_beta 90.00
_cell_angle_gamma 90.00
loop_
_atom_site_label
_atom_site_type_symbol
_atom_site_fract_x
_atom_site_fract_y
_atom_site_fract_z
Nb1 Nb 0.0000 0.0000 0.0000
Zn1 Zn 0.0000 0.0000 0.5000
Ir1 Ir 0.2419 0.2500 0.1250
```

2.
An optimized crystal structure of Ga2PtPbC. Source: Alexandria, functional PBE.

Output
Size of the total moment   0.0 μB/f.u.
D(E_F)   2.38 states/eV/cell
Raw total energy   -4.48 eV/atom

Cell and atoms, written as CIF:
```
data_Ga2PtPbC
_chemical_formula_sum 'Ga2 Pt1 Pb1 C1'
_symmetry_space_group_name_H-M 'P 4/m m m'
_symmetry_Int_Tables_number 123
_symmetry_space_group_name_Hall '-P 4 2'
_cell_length_a 4.9927
_cell_length_b 4.9927
_cell_length_c 3.9075
_cell_angle_alpha 90.00
_cell_angle_beta 90.00
_cell_angle_gamma 90.00
loop_
_atom_site_label
_atom_site_type_symbol
_atom_site_fract_x
_atom_site_fract_y
_atom_site_fract_z
Ga1 Ga 0.0000 0.5000 0.0000
Pt1 Pt 0.0000 0.0000 0.5000
Pb1 Pb 0.5000 0.5000 0.5000
C1 C 0.0000 0.0000 0.0000
```

3.
An optimized crystal structure of AlFe2Hg. Source: Alexandria, functional PBE.

Output
Size of the total moment   4.7 μB/f.u.
D(E_F)   10.37 states/eV/cell
Raw total energy   -5.00 eV/atom

Cell and atoms, written as CIF:
```
data_AlFe2Hg
_chemical_formula_sum 'Al4 Fe8 Hg4'
_symmetry_space_group_name_H-M 'F -4 3 m'
_symmetry_Int_Tables_number 216
_symmetry_space_group_name_Hall 'F -4 2 3'
_cell_length_a 6.1689
_cell_length_b 6.1689
_cell_length_c 6.1689
_cell_angle_alpha 90.00
_cell_angle_beta 90.00
_cell_angle_gamma 90.00
loop_
_atom_site_label
_atom_site_type_symbol
_atom_site_fract_x
_atom_site_fract_y
_atom_site_fract_z
Al1 Al 0.0000 0.0000 0.0000
Fe1 Fe 0.0000 0.0000 0.5000
Fe2 Fe 0.2500 0.2500 0.7500
Hg1 Hg 0.2500 0.2500 0.2500
```

4.
An optimized crystal structure of HoThAs2Rh5. Source: Alexandria, functional PBE.

Output
Size of the total moment   0.0 μB/f.u.
D(E_F)   6.17 states/eV/cell
Raw total energy   -6.93 eV/atom

Cell and atoms, written as CIF:
```
data_HoThAs2Rh5
_chemical_formula_sum 'Ho1 Th1 As2 Rh5'
_symmetry_space_group_name_H-M 'P 4/m m m'
_symmetry_Int_Tables_number 123
_symmetry_space_group_name_Hall '-P 4 2'
_cell_length_a 4.0226
_cell_length_b 4.0226
_cell_length_c 11.5884
_cell_angle_alpha 90.00
_cell_angle_beta 90.00
_cell_angle_gamma 90.00
loop_
_atom_site_label
_atom_site_type_symbol
_atom_site_fract_x
_atom_site_fract_y
_atom_site_fract_z
Ho1 Ho 0.0000 0.0000 0.0000
Th1 Th 0.5000 0.5000 0.5000
As1 As 0.5000 0.5000 0.2046
Rh1 Rh 0.0000 0.5000 0.3206
Rh2 Rh 0.5000 0.5000 0.0000
```

5.
An optimized crystal structure of La3CoPb. Source: Alexandria, functional PBE.

Output
Size of the total moment   0.0 μB/f.u.
D(E_F)   21.79 states/eV/cell
ΔE to the lowest computed polymorph   67.9 meV/atom

Cell and atoms, written as CIF:
```
data_La3CoPb
_chemical_formula_sum 'La12 Co4 Pb4'
_symmetry_space_group_name_H-M 'C 1 m 1'
_symmetry_Int_Tables_number 8
_symmetry_space_group_name_Hall 'C -2y'
_cell_length_a 12.4816
_cell_length_b 7.3756
_cell_length_c 8.6625
_cell_angle_alpha 90.00
_cell_angle_beta 130.77
_cell_angle_gamma 90.00
loop_
_atom_site_label
_atom_site_type_symbol
_atom_site_fract_x
_atom_site_fract_y
_atom_site_fract_z
La1 La 0.0000 0.0000 0.0000
La2 La 0.0444 0.5000 0.6857
La3 La 0.2376 0.2542 0.5366
La4 La 0.3230 0.2498 0.1609
Co1 Co 0.0441 0.0000 0.3647
Co2 Co 0.2758 0.0000 0.3571
Pb1 Pb 0.0201 0.5000 0.0502
Pb2 Pb 0.0460 0.0000 0.6711
```

6.
An optimized crystal structure of PrSm5Er5. Source: Alexandria, functional PBE.

Output
Size of the total moment   0.0 μB/f.u.
D(E_F)   22.04 states/eV/cell
Raw total energy   -4.36 eV/atom

Cell and atoms, written as CIF:
```
data_PrSm5Er5
_chemical_formula_sum 'Pr1 Sm5 Er5'
_symmetry_space_group_name_H-M 'P -6 m 2'
_symmetry_Int_Tables_number 187
_symmetry_space_group_name_Hall 'P -6 2'
_cell_length_a 6.0848
_cell_length_b 6.0848
_cell_length_c 11.7784
_cell_angle_alpha 90.00
_cell_angle_beta 90.00
_cell_angle_gamma 120.00
loop_
_atom_site_label
_atom_site_type_symbol
_atom_site_fract_x
_atom_site_fract_y
_atom_site_fract_z
Pr1 Pr 0.0000 0.0000 0.0000
Sm1 Sm 0.0000 0.0000 0.3212
Sm2 Sm 0.3333 0.6667 0.1558
Sm3 Sm 0.6667 0.3333 0.0000
Er1 Er 0.9997 0.4999 0.5000
Er2 Er 0.6667 0.3333 0.2663
```

7.
An optimized crystal structure of TiRhI2O. Source: Alexandria, functional PBE.

Output
E_form (uncorrected)   -0.4609 eV per atom
Size of the total moment   1.4 μB/f.u.
D(E_F)   4.78 states/eV/cell
ΔE to the lowest computed polymorph   0.0 meV/atom

Cell and atoms, written as CIF:
```
data_TiRhI2O
_chemical_formula_sum 'Ti1 Rh1 I2 O1'
_symmetry_space_group_name_H-M 'P 4/m m m'
_symmetry_Int_Tables_number 123
_symmetry_space_group_name_Hall '-P 4 2'
_cell_length_a 5.5405
_cell_length_b 5.5405
_cell_length_c 3.6903
_cell_angle_alpha 90.00
_cell_angle_beta 90.00
_cell_angle_gamma 90.00
loop_
_atom_site_label
_atom_site_type_symbol
_atom_site_fract_x
_atom_site_fract_y
_atom_site_fract_z
Ti1 Ti 0.0000 0.0000 0.0000
Rh1 Rh 0.5000 0.5000 0.5000
I1 I 0.0000 0.5000 0.0000
O1 O 0.0000 0.0000 0.5000
```

8.
An optimized crystal structure of ScCuSn2. Source: Alexandria, functional PBE.

Output
Size of the total moment   0.0 μB/f.u.
D(E_F)   6.34 states/eV/cell
Raw total energy   -4.47 eV/atom

Cell and atoms, written as CIF:
```
data_ScCuSn2
_chemical_formula_sum 'Sc3 Cu3 Sn6'
_symmetry_space_group_name_H-M 'R -3 m'
_symmetry_Int_Tables_number 166
_symmetry_space_group_name_Hall '-R 3 2"'
_cell_length_a 3.3288
_cell_length_b 3.3288
_cell_length_c 29.6762
_cell_angle_alpha 90.00
_cell_angle_beta 90.00
_cell_angle_gamma 120.00
loop_
_atom_site_label
_atom_site_type_symbol
_atom_site_fract_x
_atom_site_fract_y
_atom_site_fract_z
Sc1 Sc 0.0000 0.0000 0.0000
Cu1 Cu 0.0000 0.0000 0.5000
Sn1 Sn 0.0000 0.0000 0.0996
```

What is the D(E_F) in the second record? 2.38 states/eV/cell

Look up the D(E_F) of the seventh one. 4.78 states/eV/cell

Which of these has the highest size of the total moment? AlFe2Hg